Entry 1:
The following is a PBE calculation of a geometry-optimized HoBC structure, from Alexandria.

```
HoBC
1.0
3.022 0.000 0.000
-1.511 2.617 0.000
0.000 0.000 3.995
Ho B C
1 1 1
Direct
0.000 0.000 0.000 Ho
0.667 0.333 0.500 B
0.333 0.667 0.500 C
```

Computed properties:
Space-group type: P-6m2, No. 187
Calculated volume, Å³ per atom: 10.531
Magnetic moment, μB/cell: 0.00
Energy relative to the lowest polymorph listed for this composition, meV per atom: 114

Entry 2:
The following is a PBE calculation of a geometry-optimized PrCu2S2 structure, from Alexandria.

```
PrCu2S2
1.0
3.925 0.000 0.000
-1.963 3.400 0.000
0.000 0.000 23.682
Pr Cu S
3 6 6
Direct
0.000 0.000 0.000 Pr
0.333 0.667 0.667 Pr
0.667 0.333 0.333 Pr
0.000 0.000 0.245 Cu
0.000 0.000 0.755 Cu
0.333 0.667 0.422 Cu
0.333 0.667 0.911 Cu
0.667 0.333 0.089 Cu
0.667 0.333 0.578 Cu
0.000 0.000 0.417 S
0.000 0.000 0.583 S
0.333 0.667 0.084 S
0.333 0.667 0.249 S
0.667 0.333 0.751 S
0.667 0.333 0.916 S
```

Computed properties:
Space-group type: R-3m, No. 166
Uncorrected formation energy, meV/atom: -799.6
Calculated volume, Å³ per atom: 21.069
Magnetic moment, μB/cell: 0.00

Entry 3:
The following is a PBE calculation of a geometry-optimized BePdO2 structure, from Alexandria.

```
BePdO2
1.0
2.691 0.000 0.000
-1.346 2.331 0.000
0.000 0.000 17.273
Be Pd O
3 3 6
Direct
0.000 0.000 0.000 Be
0.333 0.667 0.667 Be
0.667 0.333 0.333 Be
0.000 0.000 0.500 Pd
0.333 0.667 0.167 Pd
0.667 0.333 0.833 Pd
0.000 0.000 0.387 O
0.000 0.000 0.613 O
0.333 0.667 0.054 O
0.333 0.667 0.279 O
0.667 0.333 0.721 O
0.667 0.333 0.946 O
```

Computed properties:
Space-group type: R-3m, No. 166
Uncorrected formation energy, meV/atom: -1173.0
Calculated volume, Å³ per atom: 9.028
Magnetic moment, μB/cell: 0.00

Entry 4:
The following is a PBE calculation of a geometry-optimized YEr2Ga2 structure, from Alexandria.

```
YEr2Ga2
1.0
7.659 0.000 0.000
0.000 7.659 0.000
0.000 0.000 4.249
Y Er Ga
2 4 4
Direct
0.000 0.000 0.000 Y
0.500 0.500 0.000 Y
0.174 0.326 0.500 Er
0.326 0.826 0.500 Er
0.674 0.174 0.500 Er
0.826 0.674 0.500 Er
0.120 0.620 0.000 Ga
0.380 0.120 0.000 Ga
0.620 0.880 0.000 Ga
0.880 0.380 0.000 Ga
```

Computed properties:
Space-group type: P4/mbm, No. 127
Calculated volume, Å³ per atom: 24.924
Magnetic moment, μB/cell: 0.00
Energy relative to the lowest polymorph listed for this composition, meV per atom: 0

Entry 5:
The following is a PBE calculation of a geometry-optimized BaCd4Sn4 structure, from Alexandria.

```
BaCd4Sn4
1.0
7.022 0.000 0.000
0.000 7.022 0.000
0.000 0.000 10.911
Ba Cd Sn
2 8 8
Direct
0.250 0.750 0.250 Ba
0.750 0.250 0.750 Ba
0.040 0.250 0.063 Cd
0.250 0.040 0.563 Cd
0.250 0.460 0.563 Cd
0.460 0.250 0.063 Cd
0.540 0.750 0.937 Cd
0.750 0.540 0.437 Cd
0.750 0.960 0.437 Cd
0.960 0.750 0.937 Cd
0.031 0.250 0.350 Sn
0.250 0.031 0.850 Sn
0.250 0.469 0.850 Sn
0.469 0.250 0.350 Sn
0.531 0.750 0.650 Sn
0.750 0.531 0.150 Sn
0.750 0.969 0.150 Sn
0.969 0.750 0.650 Sn
```

Computed properties:
Space-group type: P4_2/nmc, No. 137
Calculated volume, Å³ per atom: 29.889
E, eV per atom: -2.530
Magnetic moment, μB/cell: 0.00

Entry 6:
The following is a PBE calculation of a geometry-optimized Ac2ScOs3O12 structure, from Alexandria.

```
Ac2ScOs3O12
1.0
3.613 2.086 5.389
-3.613 2.086 5.389
0.000 -4.172 5.389
Ac Sc Os O
2 1 3 12
Direct
0.125 0.125 0.125 Ac
0.875 0.875 0.875 Ac
0.500 0.500 0.500 Sc
0.000 0.500 0.500 Os
0.500 0.000 0.500 Os
0.500 0.500 0.000 Os
0.104 0.631 0.631 O
0.208 0.208 0.614 O
0.208 0.614 0.208 O
0.369 0.369 0.896 O
0.369 0.896 0.369 O
0.386 0.792 0.792 O
0.614 0.208 0.208 O
0.631 0.104 0.631 O
0.631 0.631 0.104 O
0.792 0.386 0.792 O
0.792 0.792 0.386 O
0.896 0.369 0.369 O
```

Computed properties:
Space-group type: R-3m, No. 166
Uncorrected formation energy, meV/atom: -1829.2
Calculated volume, Å³ per atom: 13.541
Magnetic moment, μB/cell: 1.83

Entry 7:
The following is a PBE calculation of a geometry-optimized HgBrCl2 structure, from Alexandria.

```
HgBrCl2
1.0
4.269 0.000 0.000
-2.134 3.697 0.000
0.000 0.000 24.657
Hg Br Cl
3 3 6
Direct
0.000 0.000 0.000 Hg
0.333 0.667 0.667 Hg
0.667 0.333 0.333 Hg
0.000 0.000 0.500 Br
0.333 0.667 0.167 Br
0.667 0.333 0.833 Br
0.000 0.000 0.399 Cl
0.000 0.000 0.601 Cl
0.333 0.667 0.066 Cl
0.333 0.667 0.267 Cl
0.667 0.333 0.733 Cl
0.667 0.333 0.934 Cl
```

Computed properties:
Space-group type: R-3m, No. 166
Uncorrected formation energy, meV/atom: -107.0
Calculated volume, Å³ per atom: 32.429
Magnetic moment, μB/cell: 0.00
Energy relative to the lowest polymorph listed for this composition, meV per atom: 149

Entry 8:
The following is a PBE calculation of a geometry-optimized La3Zr structure, from Alexandria.

```
La3Zr
1.0
11.374 0.000 0.000
-5.687 9.850 0.000
0.000 0.000 3.416
La Zr
9 3
Direct
0.000 0.500 0.000 La
0.167 0.333 0.333 La
0.167 0.833 0.333 La
0.333 0.167 0.667 La
0.500 0.000 0.000 La
0.500 0.500 0.000 La
0.667 0.833 0.333 La
0.833 0.167 0.667 La
0.833 0.667 0.667 La
0.000 0.000 0.000 Zr
0.333 0.667 0.667 Zr
0.667 0.333 0.333 Zr
```

Computed properties:
Space-group type: R-3m, No. 166
Calculated volume, Å³ per atom: 31.889
E, eV per atom: -5.564
Magnetic moment, μB/cell: 0.01

Entry 9:
The following is a PBE calculation of a geometry-optimized RuRhPb2 structure, from Alexandria.

```
RuRhPb2
1.0
6.529 0.000 0.000
0.000 7.078 0.000
-0.008 0.000 3.280
Ru Rh Pb
2 2 4
Direct
0.000 0.000 0.000 Ru
0.500 0.500 0.000 Ru
0.000 0.500 0.000 Rh
0.500 0.000 0.000 Rh
0.250 0.250 0.500 Pb
0.250 0.750 0.500 Pb
0.750 0.250 0.500 Pb
0.750 0.750 0.500 Pb
```

Computed properties:
Space-group type: C2/m, No. 12
Calculated volume, Å³ per atom: 18.947
Magnetic moment, μB/cell: 0.00
Energy relative to the lowest polymorph listed for this composition, meV per atom: 23

Entry 10:
The following is a PBE calculation of a geometry-optimized CsYPb2 structure, from Alexandria.

```
CsYPb2
1.0
4.165 0.000 0.000
0.000 4.165 0.000
0.000 0.000 8.651
Cs Y Pb
1 1 2
Direct
0.000 0.000 0.000 Cs
0.000 0.000 0.500 Y
0.500 0.500 0.320 Pb
0.500 0.500 0.680 Pb
```

Computed properties:
Space-group type: P4/mmm, No. 123
Calculated volume, Å³ per atom: 37.525
Magnetic moment, μB/cell: 0.00
Energy relative to the lowest polymorph listed for this composition, meV per atom: 0

Entry 11:
The following is a PBE calculation of a geometry-optimized FeRuPb structure, from Alexandria.

```
FeRuPb
1.0
3.330 0.000 0.000
0.000 3.330 0.000
0.000 0.000 9.318
Fe Ru Pb
2 2 2
Direct
0.000 0.000 0.000 Fe
0.500 0.500 0.500 Fe
0.000 0.000 0.370 Ru
0.500 0.500 0.870 Ru
0.000 0.000 0.684 Pb
0.500 0.500 0.184 Pb
```

Computed properties:
Space-group type: I4mm, No. 107
Calculated volume, Å³ per atom: 17.225
Magnetic moment, μB/cell: 8.37
Energy relative to the lowest polymorph listed for this composition, meV per atom: 0

Entry 12:
The following is a PBE calculation of a geometry-optimized CaTlAgHg structure, from Alexandria.

```
CaTlAgHg
1.0
7.346 0.000 0.000
0.000 7.346 0.000
0.000 0.000 7.346
Ca Tl Ag Hg
4 4 4 4
Direct
0.000 0.000 0.000 Ca
0.000 0.500 0.500 Ca
0.500 0.000 0.500 Ca
0.500 0.500 0.000 Ca
0.000 0.000 0.500 Tl
0.000 0.500 0.000 Tl
0.500 0.000 0.000 Tl
0.500 0.500 0.500 Tl
0.250 0.250 0.750 Ag
0.250 0.750 0.250 Ag
0.750 0.250 0.250 Ag
0.750 0.750 0.750 Ag
0.250 0.250 0.250 Hg
0.250 0.750 0.750 Hg
0.750 0.250 0.750 Hg
0.750 0.750 0.250 Hg
```

Computed properties:
Space-group type: F-43m, No. 216
Calculated volume, Å³ per atom: 24.776
E, eV per atom: -2.144
Magnetic moment, μB/cell: 0.00

Number 1: D(E_F) 0.15 states/eV/cell. Number 2: D(E_F) 5.59 states/eV/cell. Number 3: D(E_F) 6.00 states/eV/cell. Number 4: D(E_F) 11.17 states/eV/cell. Number 5: D(E_F) 6.27 states/eV/cell. Number 6: D(E_F) 9.18 states/eV/cell. Number 7: D(E_F) 6.05 states/eV/cell. Number 8: D(E_F) 28.58 states/eV/cell. Number 9: D(E_F) 4.79 states/eV/cell. Number 10: D(E_F) 1.87 states/eV/cell. Number 11: D(E_F) 5.89 states/eV/cell. Number 12: D(E_F) 5.97 states/eV/cell.